# 1
Material: Tb3AlIn2
Method: DFT, GGA-PBE
State: optimized geometry

Cell: 3.6765 3.6765 11.4626 Å, 90.00 90.00 90.00°
Space group P4/mmm (No. 123)
Unique sites:
Tb 0.0000 0.0000 0.0000
Tb 0.0000 0.0000 0.3438
Al 0.5000 0.5000 0.5000
In 0.5000 0.5000 0.1714

Properties
total DFT energy (no corrections)	-4.297	eV per atom
calculated formation energy	-0.4452	eV per atom


# 2
Material: CsSnN2F
Method: DFT, GGA-PBE
State: optimized geometry

Cell: 4.2465 4.2465 4.9403 Å, 90.00 90.00 90.00°
Space group P4/mmm (No. 123)
Unique sites:
Cs 0.0000 0.0000 0.0000
Sn 0.5000 0.5000 0.5000
N 0.0000 0.5000 0.5000
F 0.5000 0.5000 0.0000

Properties
total DFT energy (no corrections)	-4.648	eV per atom
E_form (uncorrected)	0.03	eV/atom


# 3
Material: HfMgReS2
Method: DFT, GGA-PBE
State: optimized geometry

Cell: 4.4870 4.4870 5.5247 Å, 90.00 90.00 90.00°
Space group P4/mmm (No. 123)
Unique sites:
Hf 0.0000 0.0000 0.0000
Mg 0.0000 0.0000 0.5000
Re 0.5000 0.5000 0.0000
S 0.0000 0.5000 0.5000

Properties
total DFT energy (no corrections)	-5.098	eV per atom
E_form (uncorrected)	1.35	eV/atom


# 4
Material: Ti15Al2Sn2
Method: DFT, GGA-PBE
State: optimized geometry

Cell: 8.9950 8.9950 14.6895 Å, 90.00 90.00 120.00°
Space group R-3m (No. 166, hexagonal axes)
Unique sites:
Ti 0.0000 0.2996 0.0000
Ti 0.0000 0.5000 0.5000
Ti 0.0221 0.5110 0.1368
Al 0.0000 0.0000 0.0906
Sn 0.0000 0.0000 0.3070

Properties
total DFT energy (no corrections)	-6.905	eV per atom
calculated formation energy	0.1429	eV per atom


# 5
Material: LaSn2Bi
Method: DFT, GGA-PBE
State: optimized geometry

Cell: 4.8258 4.8258 5.0007 Å, 90.00 90.00 90.00°
Space group P4/mmm (No. 123)
Unique sites:
La 0.0000 0.0000 0.0000
Sn 0.0000 0.5000 0.5000
Bi 0.5000 0.5000 0.0000

Properties
total DFT energy (no corrections)	-4.756	eV per atom
calculated formation energy	-0.5523	eV per atom


Repeat the fifth record exactly.
Material: LaSn2Bi
Method: DFT, GGA-PBE
State: optimized geometry

Cell: 4.8258 4.8258 5.0007 Å, 90.00 90.00 90.00°
Space group P4/mmm (No. 123)
Unique sites:
La 0.0000 0.0000 0.0000
Sn 0.0000 0.5000 0.5000
Bi 0.5000 0.5000 0.0000

Properties
total DFT energy (no corrections)	-4.756	eV per atom
calculated formation energy	-0.5523	eV per atom


What is the formula in the third record? HfMgReS2


The lowest total DFT energy (no corrections) belongs to which entry? Ti15Al2Sn2